# PmCd5Ag6, optimized geometry, DFT PBE-GGA
# Space-group type: No. 12
# Crystal system: monoclinic
# Energy above the most stable polymorph in this dataset in kcal/mol of atoms: 0.07
data_PmCd5Ag6
_cell_length_a 8.244
_cell_length_b 8.244
_cell_length_c 4.855
_cell_angle_alpha 107.07
_cell_angle_beta 107.07
_cell_angle_gamma 116.01
_space_group_name_H-M_alt 'P 1'
_space_group_IT_number 1
loop_
_space_group_symop_operation_xyz
'x,y,z'
loop_
_atom_site_label
_atom_site_fract_x
_atom_site_fract_y
_atom_site_fract_z
Pm1 0.000 0.000 0.000
Cd1 0.157 0.843 0.500
Cd2 0.326 0.674 0.000
Cd3 0.500 0.500 0.500
Cd4 0.674 0.326 0.000
Cd5 0.843 0.157 0.500
Ag1 0.097 0.442 0.272
Ag2 0.276 0.276 0.777
Ag3 0.442 0.097 0.272
Ag4 0.558 0.903 0.728
Ag5 0.724 0.724 0.223
Ag6 0.903 0.558 0.728

***

# TmSiGeRh3, optimized geometry, DFT PBE-GGA
# Formation energy from raw total energies in eV/atom: -0.6680
# Space-group type: No. 63
# Crystal system: orthorhombic
data_TmSiGeRh3
_cell_length_a 7.940
_cell_length_b 7.940
_cell_length_c 5.601
_cell_angle_alpha 90.00
_cell_angle_beta 90.00
_cell_angle_gamma 138.85
_space_group_name_H-M_alt 'P 1'
_space_group_IT_number 1
loop_
_space_group_symop_operation_xyz
'x,y,z'
loop_
_atom_site_label
_atom_site_fract_x
_atom_site_fract_y
_atom_site_fract_z
Tm1 0.197 0.803 0.750
Tm2 0.803 0.197 0.250
Si1 0.415 0.585 0.250
Si2 0.585 0.415 0.750
Ge1 0.096 0.904 0.250
Ge2 0.904 0.096 0.750
Rh1 0.250 0.250 0.000
Rh2 0.250 0.250 0.500
Rh3 0.258 0.742 0.250
Rh4 0.742 0.258 0.750
Rh5 0.750 0.750 0.000
Rh6 0.750 0.750 0.500